# 1
Below is Cs2RbVBr6 after structural relaxation, with properties calculated at the GGA-PBE level.

a = 7.917 Å, b = 8.797 Å, c = 11.673 Å
α = 90.00°, β = 90.00°, γ = 90.00°
Each line ends with the local moment (μB).
Fractional positions:
Br  0.731  0.416  0.500  -0.02
Br  0.274  0.002  0.500  -0.02
Rb  0.500  0.293  0.000  0.00
Br  0.500  0.213  0.720  -0.02
Br  0.269  0.416  0.500  -0.02
Br  0.000  0.787  0.220  -0.02
Cs  0.000  0.204  0.726  0.00
Br  0.000  0.787  0.780  -0.02
Cs  0.500  0.796  0.226  0.00
Br  0.500  0.213  0.280  -0.02
Rb  0.000  0.707  0.500  0.00
Br  0.774  0.998  0.000  -0.02
Br  0.231  0.584  0.000  -0.02
Br  0.726  0.002  0.500  -0.02
Cs  0.000  0.204  0.274  0.00
V  0.500  0.213  0.500  1.91
Br  0.226  0.998  0.000  -0.02
V  0.000  0.787  0.000  1.91
Br  0.769  0.584  0.000  -0.02
Cs  0.500  0.796  0.774  0.00

Computed properties:
Calculated density (g/cm3): 3.6
Crystal system: orthorhombic
ΔE to the lowest computed polymorph (meV/atom): 0
Formation energy without anion corrections (kcal/mol of atoms): -32.56
Fermi-level density of states (states/eV/f.u.): 10.91

---

# 2
Below is Cs3Rb3VBr8 after structural relaxation, with properties calculated at the GGA-PBE level.

a = 9.815 Å, b = 9.812 Å, c = 10.031 Å
α = 119.29°, β = 90.00°, γ = 120.01°
Each line ends with the local moment (μB).
Fractional positions:
Rb  0.000  0.500  0.500  0.00
Br  0.255  0.510  0.265  0.00
Br  0.194  0.993  0.688  -0.01
Br  0.195  0.389  0.688  -0.01
Br  0.745  0.490  0.735  0.00
Cs  0.500  0.500  0.000  0.00
Cs  0.000  0.000  0.000  0.00
V  0.000  0.000  0.500  2.64
Rb  0.500  0.500  0.500  0.00
Rb  0.500  0.000  0.500  0.00
Br  0.799  0.993  0.688  -0.01
Br  0.806  0.007  0.312  -0.01
Br  0.805  0.611  0.312  -0.01
Br  0.201  0.007  0.312  -0.01
Cs  0.000  0.500  0.000  0.00

Computed properties:
Calculated density (g/cm3): 3.2
Crystal system: trigonal
Formation energy without anion corrections (kcal/mol of atoms): -35.75

---

# 3
Below is Cs3RbV2Br9 after structural relaxation, with properties calculated at the GGA-PBE level.

a = 7.771 Å, b = 7.771 Å, c = 10.679 Å
α = 90.00°, β = 90.00°, γ = 120.00°
Each line ends with the local moment (μB).
Fractional positions:
Br  0.178  0.355  0.282  -0.02
V  0.333  0.667  0.149  2.27
Cs  0.000  0.000  0.000  0.00
Cs  0.333  0.667  0.717  0.00
Br  0.500  0.500  0.000  -0.01
Br  0.178  0.822  0.282  -0.02
Cs  0.667  0.333  0.283  0.00
Br  0.645  0.822  0.282  -0.02
Rb  0.000  0.000  0.500  0.00
V  0.667  0.333  0.851  2.27
Br  0.822  0.178  0.718  -0.02
Br  0.000  0.500  0.000  -0.01
Br  0.355  0.178  0.718  -0.02
Br  0.500  0.000  0.000  -0.01
Br  0.822  0.645  0.718  -0.02

Computed properties:
Calculated density (g/cm3): 3.9
Crystal system: trigonal
Formation energy without anion corrections (kcal/mol of atoms): -30.61
Fermi-level density of states (states/eV/f.u.): 16.15

---

# 4
Below is CsRb2VBr6 after structural relaxation, with properties calculated at the GGA-PBE level.

a = 7.648 Å, b = 9.627 Å, c = 11.742 Å
α = 90.00°, β = 90.00°, γ = 90.00°
Each line ends with the local moment (μB).
Fractional positions:
Br  0.758  0.637  0.000  -0.02
V  0.000  0.820  0.000  1.91
Rb  0.000  0.160  0.300  0.00
Br  0.242  0.637  0.000  -0.02
Br  0.742  0.363  0.500  -0.02
Br  0.770  0.016  0.000  -0.02
Rb  0.500  0.840  0.800  0.00
Br  0.258  0.363  0.500  -0.02
Br  0.270  0.984  0.500  -0.02
V  0.500  0.180  0.500  1.91
Br  0.730  0.984  0.500  -0.02
Rb  0.000  0.160  0.700  0.00
Cs  0.000  0.671  0.500  0.00
Br  0.000  0.815  0.781  -0.02
Br  0.230  0.016  0.000  -0.02
Cs  0.500  0.329  0.000  0.00
Br  0.000  0.815  0.219  -0.02
Rb  0.500  0.840  0.200  0.00
Br  0.500  0.185  0.281  -0.02
Br  0.500  0.185  0.719  -0.02

Computed properties:
Calculated density (g/cm3): 3.2
Crystal system: orthorhombic
ΔE to the lowest computed polymorph (meV/atom): 0
Formation energy without anion corrections (kcal/mol of atoms): -31.93
Fermi-level density of states (states/eV/f.u.): 11.17

---

# 5
Below is CsRbV2Br8 after structural relaxation, with properties calculated at the GGA-PBE level.

a = 7.428 Å, b = 7.428 Å, c = 11.306 Å
α = 70.82°, β = 70.82°, γ = 60.00°
Each line ends with the local moment (μB).
Fractional positions:
Rb  0.000  0.000  0.000  0.00
Br  0.062  0.464  0.804  -0.01
Br  0.833  0.833  0.502  -0.01
Br  0.464  0.670  0.804  -0.01
Cs  0.500  0.500  0.500  0.00
Br  0.536  0.330  0.196  -0.01
Br  0.167  0.167  0.498  -0.01
V  0.243  0.243  0.271  1.84
Br  0.938  0.536  0.196  -0.01
V  0.757  0.757  0.729  1.84
Br  0.330  0.938  0.196  -0.01
Br  0.670  0.062  0.804  -0.01

Computed properties:
Calculated density (g/cm3): 3.2
Crystal system: trigonal
Formation energy without anion corrections (kcal/mol of atoms): -26.72

---

# 6
Below is CsRb2VBr6 after structural relaxation, with properties calculated at the GGA-PBE level.

a = 8.381 Å, b = 8.381 Å, c = 8.381 Å
α = 60.00°, β = 60.00°, γ = 90.00°
Each line ends with the local moment (μB).
Fractional positions:
Rb  0.250  0.750  0.500  0.00
Br  0.285  0.285  0.000  -0.02
Br  0.715  0.715  0.000  -0.02
Br  0.715  0.285  0.000  -0.02
Rb  0.750  0.250  0.500  0.00
Br  0.285  0.715  0.000  -0.02
Br  0.285  0.285  0.431  -0.02
Cs  0.000  0.000  0.000  0.00
V  0.500  0.500  0.000  1.89
Br  0.715  0.715  0.569  -0.02

Computed properties:
Calculated density (g/cm3): 3.3
Crystal system: cubic
ΔE to the lowest computed polymorph (meV/atom): 47
Formation energy without anion corrections (kcal/mol of atoms): -30.85
Fermi-level density of states (states/eV/f.u.): 29.52

---

# 7
Below is Cs2RbVBr6 after structural relaxation, with properties calculated at the GGA-PBE level.

a = 8.249 Å, b = 8.249 Å, c = 8.249 Å
α = 60.00°, β = 60.00°, γ = 90.00°
Each line ends with the local moment (μB).
Fractional positions:
Rb  0.000  0.000  0.000  0.00
Cs  0.250  0.750  0.500  0.00
Br  0.281  0.719  0.000  -0.02
Cs  0.750  0.250  0.500  0.00
Br  0.719  0.719  0.561  -0.02
Br  0.719  0.281  0.000  -0.02
V  0.500  0.500  0.000  1.89
Br  0.281  0.281  0.439  -0.02
Br  0.719  0.719  0.000  -0.02
Br  0.281  0.281  0.000  -0.02

Computed properties:
Calculated density (g/cm3): 3.7
Crystal system: cubic
ΔE to the lowest computed polymorph (meV/atom): 6
Formation energy without anion corrections (kcal/mol of atoms): -32.43
Fermi-level density of states (states/eV/f.u.): 32.51

---

# 8
Below is CsRbWBr6 after structural relaxation, with properties calculated at the GGA-PBE level.

a = 8.509 Å, b = 8.509 Å, c = 11.845 Å
α = 90.00°, β = 90.00°, γ = 120.00°
Each line ends with the local moment (μB).
Fractional positions:
Br  0.907  0.325  0.124  0.01
Br  0.675  0.582  0.124  0.01
Br  0.582  0.907  0.876  0.01
Rb  0.000  0.000  0.500  0.00
Cs  0.667  0.333  0.750  0.00
Cs  0.333  0.667  0.250  0.00
Br  0.582  0.675  0.624  0.01
Br  0.325  0.907  0.624  0.01
Br  0.418  0.325  0.376  0.01
Br  0.418  0.093  0.124  0.01
W  0.333  0.667  0.750  1.53
Br  0.093  0.675  0.876  0.01
Br  0.093  0.418  0.624  0.01
W  0.667  0.333  0.250  1.53
Rb  0.000  0.000  0.000  0.00
Br  0.675  0.093  0.376  0.01
Br  0.325  0.418  0.876  0.01
Br  0.907  0.582  0.376  0.01

Computed properties:
Calculated density (g/cm3): 3.9
Crystal system: trigonal
Formation energy without anion corrections (kcal/mol of atoms): -23.29
Fermi-level density of states (states/eV/f.u.): 9.50

---

# 9
Below is CsRb2YBr6 after structural relaxation, with properties calculated at the GGA-PBE level.

a = 8.759 Å, b = 8.759 Å, c = 8.759 Å
α = 60.00°, β = 60.00°, γ = 60.00°
Fractional positions:
Rb  0.750  0.750  0.750
Rb  0.250  0.250  0.250
Cs  0.500  0.500  0.500
Br  0.226  0.774  0.226
Br  0.774  0.226  0.226
Y  0.000  0.000  0.000
Br  0.226  0.226  0.774
Br  0.226  0.774  0.774
Br  0.774  0.226  0.774
Br  0.774  0.774  0.226

Computed properties:
Calculated density (g/cm3): 3.0
Crystal system: cubic
ΔE to the lowest computed polymorph (meV/atom): 80
Formation energy without anion corrections (kcal/mol of atoms): -40.72
Fermi-level density of states (states/eV/f.u.): 0.00

---

# 10
Below is CsRb2YBr6 after structural relaxation, with properties calculated at the GGA-PBE level.

a = 8.257 Å, b = 8.835 Å, c = 11.777 Å
α = 90.00°, β = 88.73°, γ = 90.00°
Fractional positions:
Rb  0.969  0.077  0.742
Cs  0.500  0.000  0.000
Br  0.848  0.764  0.915
Br  0.726  0.330  0.942
Br  0.348  0.736  0.415
Rb  0.531  0.577  0.758
Br  0.152  0.236  0.085
Rb  0.031  0.923  0.258
Br  0.361  0.935  0.716
Y  0.000  0.500  0.000
Br  0.861  0.565  0.216
Cs  0.000  0.500  0.500
Br  0.652  0.264  0.585
Br  0.139  0.435  0.784
Y  0.500  0.000  0.500
Br  0.639  0.065  0.284
Br  0.774  0.830  0.558
Br  0.226  0.170  0.442
Rb  0.469  0.423  0.242
Br  0.274  0.670  0.058

Computed properties:
Calculated density (g/cm3): 3.4
Crystal system: monoclinic
ΔE to the lowest computed polymorph (meV/atom): 0
Formation energy without anion corrections (kcal/mol of atoms): -42.57
Fermi-level density of states (states/eV/f.u.): 0.00

---

# 11
Below is Cs2RbZnBr6 after structural relaxation, with properties calculated at the GGA-PBE level.

a = 8.332 Å, b = 8.332 Å, c = 8.332 Å
α = 60.00°, β = 60.00°, γ = 90.00°
Each line ends with the local moment (μB).
Fractional positions:
Zn  0.500  0.500  0.000  0.00
Br  0.722  0.722  0.000  0.12
Br  0.278  0.722  0.000  0.12
Br  0.278  0.278  0.000  0.12
Br  0.722  0.722  0.556  0.12
Cs  0.750  0.250  0.500  0.00
Cs  0.250  0.750  0.500  0.00
Rb  0.000  0.000  0.000  0.00
Br  0.722  0.278  0.000  0.12
Br  0.278  0.278  0.444  0.12

Computed properties:
Calculated density (g/cm3): 3.6
Crystal system: cubic
Formation energy without anion corrections (kcal/mol of atoms): -28.08
Fermi-level density of states (states/eV/f.u.): 11.00

---

# 12
Below is CsRbZrBr6 after structural relaxation, with properties calculated at the GGA-PBE level.

a = 8.360 Å, b = 8.360 Å, c = 13.660 Å
α = 90.00°, β = 90.00°, γ = 120.00°
Fractional positions:
Rb  0.667  0.333  0.750
Br  0.662  0.590  0.137
Cs  0.000  0.000  0.500
Br  0.072  0.410  0.637
Br  0.338  0.410  0.863
Zr  0.667  0.333  0.250
Br  0.410  0.338  0.363
Br  0.928  0.590  0.363
Br  0.410  0.072  0.137
Br  0.590  0.928  0.863
Zr  0.333  0.667  0.750
Br  0.662  0.072  0.363
Br  0.338  0.928  0.637
Br  0.072  0.662  0.863
Cs  0.000  0.000  0.000
Rb  0.333  0.667  0.250
Br  0.928  0.338  0.137
Br  0.590  0.662  0.637

Computed properties:
Calculated density (g/cm3): 3.2
Crystal system: trigonal
Formation energy without anion corrections (kcal/mol of atoms): -36.83
Fermi-level density of states (states/eV/f.u.): 0.00

---

Please write out number 11 again, unchanged.
Below is Cs2RbZnBr6 after structural relaxation, with properties calculated at the GGA-PBE level.

a = 8.332 Å, b = 8.332 Å, c = 8.332 Å
α = 60.00°, β = 60.00°, γ = 90.00°
Each line ends with the local moment (μB).
Fractional positions:
Zn  0.500  0.500  0.000  0.00
Br  0.722  0.722  0.000  0.12
Br  0.278  0.722  0.000  0.12
Br  0.278  0.278  0.000  0.12
Br  0.722  0.722  0.556  0.12
Cs  0.750  0.250  0.500  0.00
Cs  0.250  0.750  0.500  0.00
Rb  0.000  0.000  0.000  0.00
Br  0.722  0.278  0.000  0.12
Br  0.278  0.278  0.444  0.12

Computed properties:
Calculated density (g/cm3): 3.6
Crystal system: cubic
Formation energy without anion corrections (kcal/mol of atoms): -28.08
Fermi-level density of states (states/eV/f.u.): 11.00